Record 1
Compound: TaBe
Source: Alexandria
Functional: PBEsol
Structure: relaxed Values from VASP.

Quantum ESPRESSO input file:
```
&SYSTEM
  ibrav = 0, nat = 2, ntyp = 2
/
ATOMIC_SPECIES
Ta 180.95 Ta.upf
Be 9.01 Be.upf
CELL_PARAMETERS angstrom
2.785 0.000 0.000
-1.393 2.412 0.000
0.000 0.000 4.269
ATOMIC_POSITIONS angstrom
Ta 0.000 0.000 0.000
Be 1.393 0.804 2.135
```

Record 2
Compound: Ta2Be
Source: Alexandria
Functional: PBEsol
Structure: relaxed Values from VASP.

Quantum ESPRESSO input file:
```
&SYSTEM
  ibrav = 0, nat = 9, ntyp = 2
/
ATOMIC_SPECIES
Ta 180.95 Ta.upf
Be 9.01 Be.upf
CELL_PARAMETERS angstrom
6.693 0.000 0.000
-3.347 5.797 0.000
0.000 0.000 3.420
ATOMIC_POSITIONS angstrom
Ta -1.353 2.343 0.000
Ta -2.491 4.315 1.710
Ta 0.856 1.482 1.710
Ta 2.706 0.000 0.000
Ta 1.994 3.453 0.000
Ta 4.982 0.000 1.710
Be 0.000 0.000 0.000
Be 0.000 3.864 1.710
Be 3.347 1.932 1.710
```

Record 3
Compound: Ta2Be
Source: Alexandria
Functional: PBEsol
Structure: relaxed Values from VASP.

Quantum ESPRESSO input file:
```
&SYSTEM
  ibrav = 0, nat = 6, ntyp = 2
/
ATOMIC_SPECIES
Ta 180.95 Ta.upf
Be 9.01 Be.upf
CELL_PARAMETERS angstrom
-2.993 2.993 2.423
2.993 -2.993 2.423
2.993 2.993 -2.423
ATOMIC_POSITIONS angstrom
Ta 3.953 0.961 0.000
Ta 0.961 2.032 0.000
Ta 2.032 0.961 2.423
Ta -0.961 2.032 2.423
Be 0.000 0.000 1.211
Be 0.000 0.000 3.634
```

no.,excess energy over the best structure of this formula in the dataset (meV per atom)
1,569.3
2,78.8
3,0.0